Ti2Nb2Pd | Alexandria via LeMat-Bulk | PBE-GGA | optimized geometry; energy of formation from the pure elements = 0.04 eV per atom; N(E_F) = 0.893 states/eV per atom; crystal system = tetragonal; relative energy among the computed polymorphs = 63 meV/atom
1.0
6.768 0.000 0.000
0.000 6.768 0.000
0.000 0.000 3.812
Ti Nb Pd
4 4 2
Direct
0.138 0.362 0.000 Ti
0.362 0.862 0.000 Ti
0.638 0.138 0.000 Ti
0.862 0.638 0.000 Ti
0.165 0.665 0.500 Nb
0.335 0.165 0.500 Nb
0.665 0.835 0.500 Nb
0.835 0.335 0.500 Nb
0.000 0.000 0.000 Pd
0.500 0.500 0.000 Pd